Record 1
The following is a PBE calculation of a relaxed RbSn2Cl4 crystal, from Alexandria.

Total energy: -3.41 eV per atom
DOS at the Fermi energy: 0.11 states/eV/atom
Offset from the most stable computed form: 8 meV/atom
Symmetry: C2 (5)
Energy relative to the elements, uncorrected: -1.07 eV per atom

abc: 8.8724 9.3456 9.3455
angles: 72.68 68.57 111.98
Closest atoms and distances in Å follow each position.
Positions (direct):
Sn: 0.7376 0.4699 0.8383  2 Cl 2.58-2.67
Sn: 0.2624 0.4241 0.2677  2 Cl 2.58-2.67
Sn: 0.3413 0.7685 0.3142  2 Cl 2.53
Sn: 0.6587 0.3445 0.5728  2 Cl 2.53
Rb: 0.5000 0.7854 0.7146  6 Cl 3.29-3.35
Rb: 0.0000 0.8893 0.1107  6 Cl 3.24-3.59
Cl: 0.3421 0.0603 0.7056  1 Sn 2.53
Cl: 0.1256 0.5743 0.1223  1 Sn 2.58
Cl: 0.6579 0.9523 0.2818  1 Sn 2.53
Cl: 0.6411 0.6529 0.0346  2 Sn 2.67-2.97
Cl: 0.3589 0.3244 0.9881  2 Sn 2.67-2.97
Cl: 0.8743 0.7520 0.5514  1 Sn 2.58
Cl: 0.8320 0.1858 0.6017  1 Sn 2.53
Cl: 0.1680 0.5663 0.6462  1 Sn 2.53

Record 2
The following is a PBE calculation of a relaxed KSc2AlCr crystal, from Alexandria.

Total energy: -4.42 eV per atom
DOS at the Fermi energy: 0.82 states/eV/atom
Symmetry: P4/mmm (123)
Energy of formation from the pure elements: 1.003 eV/atom

abc: 5.2948 6.0878 5.2948
angles: 90.00 90.00 90.00
Closest atoms and distances in Å follow each position.
Positions (direct):
Sc: 0.0000 0.0000 0.5000  2 Al 2.65
Sc: 0.5000 0.0000 0.0000  2 Al 2.65
Cr: 0.5000 0.5000 0.5000  4 K 3.74, 8 Sc 4.03
K: 0.0000 0.5000 0.0000  2 Al 3.04
Al: 0.0000 0.0000 0.0000  4 Sc 2.65

Record 3
The following is a PBE calculation of a relaxed Pr2Sm2Tm crystal, from Alexandria.

Total energy: -4.43 eV per atom
DOS at the Fermi energy: 1.41 states/eV/atom
Offset from the most stable computed form: 127 meV/atom
Symmetry: P2_1/m (11)
Energy of formation from the pure elements: 0.266 eV/atom

abc: 5.2872 7.0143 10.2850
angles: 107.68 90.00 90.00
Closest atoms and distances in Å follow each position.
Positions (direct):
Pr: 0.2457 0.3761 0.0552  3 Tm 3.42-3.53, 3 Pr 3.48-3.53, 4 Sm 3.49-3.79
Pr: 0.7457 0.6394 0.6095  3 Tm 3.39-3.56, 4 Sm 3.42-3.43, 3 Pr 3.48-3.64
Pr: 0.2457 0.3606 0.3905  3 Tm 3.39-3.56, 4 Sm 3.42-3.43, 3 Pr 3.48-3.64
Pr: 0.7457 0.6239 0.9448  3 Tm 3.42-3.53, 3 Pr 3.48-3.53, 4 Sm 3.49-3.79
Sm: 0.7457 0.1269 0.4877  2 Sm 3.24, 3 Pr 3.42-3.43
Sm: 0.2457 0.8975 0.1529  5 Pr 3.42-3.79, 1 Sm 3.75, 2 Tm 3.77
Sm: 0.2457 0.8731 0.5123  2 Sm 3.24, 3 Pr 3.42-3.43
Sm: 0.7457 0.1025 0.8471  5 Pr 3.42-3.79, 1 Sm 3.75, 2 Tm 3.77
Tm: 0.7457 0.6071 0.2741  6 Pr 3.39-3.56, 5 Sm 3.64-3.77
Tm: 0.2457 0.3929 0.7259  6 Pr 3.39-3.56, 5 Sm 3.64-3.77

Record 4
The following is a PBE calculation of a relaxed Y10Er4Th crystal, from Alexandria.

Total energy: -5.63 eV per atom
DOS at the Fermi energy: 1.72 states/eV/atom
Symmetry: I4/m (87)
Energy of formation from the pure elements: 0.394 eV/atom

abc: 10.3732 8.6500 8.6500
angles: 68.93 53.16 53.16
Closest atoms and distances in Å follow each position.
Positions (direct):
Y: 0.2500 0.5000 0.5000  4 Er 3.14, 4 Y 3.17
Y: 0.5489 0.3244 0.9012  5 Y 3.17-3.35
Y: 0.1267 0.0988 0.3244  5 Y 3.17-3.35
Y: 0.5499 0.9012 0.6756  5 Y 3.17-3.35
Y: 0.7745 0.6756 0.0988  5 Y 3.17-3.35
Y: 0.4511 0.6756 0.0988  5 Y 3.17-3.35
Y: 0.7500 0.5000 0.5000  4 Er 3.14, 4 Y 3.17
Y: 0.2255 0.3244 0.9012  5 Y 3.17-3.35
Y: 0.4501 0.0988 0.3244  5 Y 3.17-3.35
Y: 0.8733 0.9012 0.6756  5 Y 3.17-3.35
Er: 0.3338 0.7364 0.5960  2 Y 3.14, 1 Th 3.34
Er: 0.9298 0.4040 0.7364  2 Y 3.14, 1 Th 3.34
Er: 0.0702 0.5960 0.2636  2 Y 3.14, 1 Th 3.34
Er: 0.6662 0.2636 0.4040  2 Y 3.14, 1 Th 3.34
Th: 0.0000 0.0000 0.0000  4 Er 3.34

Record 5
The following is a PBE calculation of a relaxed TcOsRh2 crystal, from Alexandria.

Total energy: -7.85 eV per atom
DOS at the Fermi energy: 1.02 states/eV/atom
Offset from the most stable computed form: 1286 meV/atom
Symmetry: I-42d (122)
Energy of formation from the pure elements: 1.225 eV/atom

abc: 5.5433 5.5433 6.7528
angles: 65.77 65.77 90.00
Closest atoms and distances in Å follow each position.
Positions (direct):
Rh: 0.6251 0.1250 0.2500  2 Os 2.39, 2 Tc 2.39
Rh: 0.1249 0.6250 0.2500  2 Os 2.39, 2 Tc 2.39
Rh: 0.3750 0.3749 0.7500  2 Os 2.39, 2 Tc 2.39
Rh: 0.8750 0.8751 0.7500  2 Os 2.39, 2 Tc 2.39
Os: 0.0000 0.0000 0.0000  4 Rh 2.39
Os: 0.7500 0.2500 0.5000  4 Rh 2.39
Tc: 0.5000 0.5000 0.0000  4 Rh 2.39
Tc: 0.2500 0.7500 0.5000  4 Rh 2.39

Record 6
The following is a PBE calculation of a relaxed BaBe2RhO8 crystal, from Alexandria.

Total energy: -5.80 eV per atom
DOS at the Fermi energy: 0.61 states/eV/atom
Symmetry: P-3 (147)
Energy relative to the elements, uncorrected: -1.10 eV per atom

abc: 4.9056 4.9056 7.3056
angles: 90.00 90.00 120.00
Closest atoms and distances in Å follow each position.
Positions (direct):
Ba: 0.0000 0.0000 0.0000  12 O 2.88-2.98
Be: 0.6667 0.3333 0.2946  4 O 1.60-1.63
Be: 0.3333 0.6667 0.7054  4 O 1.60-1.63
Rh: 0.0000 0.0000 0.5000  6 O 1.91
O: 0.3333 0.6667 0.9284  1 Be 1.63
O: 0.3339 0.2950 0.3483  1 Be 1.60
O: 0.7050 0.0389 0.3483  1 Be 1.60
O: 0.6667 0.3333 0.0716  1 Be 1.63
O: 0.2950 0.9611 0.6517  1 Be 1.60
O: 0.6661 0.7050 0.6517  1 Be 1.60
O: 0.0389 0.3339 0.6517  1 Be 1.60
O: 0.9611 0.6661 0.3483  1 Be 1.60

Record 7
The following is a PBE calculation of a relaxed VP2Ru3 crystal, from Alexandria.

Total energy: -8.54 eV per atom
DOS at the Fermi energy: 0.41 states/eV/atom
Symmetry: Pmc2_1 (26)
Energy of formation from the pure elements: -0.583 eV/atom

abc: 3.8181 6.1168 6.8273
angles: 90.00 90.00 90.00
Closest atoms and distances in Å follow each position.
Positions (direct):
V: 0.5000 0.5229 0.5868  3 P 2.41-2.60
V: 0.5000 0.0229 0.4132  3 P 2.41-2.60
P: 0.5000 0.7640 0.8662  4 Ru 2.27-2.37, 1 V 2.41
P: 0.5000 0.2640 0.1338  4 Ru 2.27-2.37, 1 V 2.41
P: 0.0000 0.2392 0.6333  5 Ru 2.28-2.37
P: 0.0000 0.7392 0.3667  5 Ru 2.28-2.37
Ru: 0.0000 0.4715 0.9067  1 P 2.35
Ru: 0.0000 0.9715 0.0933  1 P 2.35
Ru: 0.5000 0.6471 0.1815  4 P 2.27-2.37
Ru: 0.5000 0.1471 0.8185  4 P 2.27-2.37
Ru: 0.0000 0.3553 0.3154  4 P 2.28-2.37
Ru: 0.0000 0.8553 0.6846  4 P 2.28-2.37

Record 8
The following is a PBE calculation of a relaxed Ba2CrRe crystal, from Alexandria.

Total energy: -5.12 eV per atom
DOS at the Fermi energy: 0.93 states/eV/atom
Offset from the most stable computed form: 813 meV/atom
Symmetry: P4/mmm (123)
Energy of formation from the pure elements: 1.358 eV/atom

abc: 5.7765 5.7765 3.7235
angles: 90.00 90.00 89.98
Closest atoms and distances in Å follow each position.
Positions (direct):
Ba: 0.0000 0.0000 0.0000  4 Cr 3.44, 4 Re 3.44, 2 Ba 3.72
Ba: 0.5000 0.5000 0.0000  4 Re 3.44, 4 Cr 3.44, 2 Ba 3.72
Cr: 0.5000 0.0000 0.5000  8 Ba 3.44, 2 Cr 3.72
Re: 0.0000 0.5000 0.5000  8 Ba 3.44, 2 Re 3.72

> Among the records above, which one has the lowest total energy?

VP2Ru3

> What is the formula in the seventh record?

VP2Ru3

> Among the records above, which one has the highest DOS at the Fermi energy?

Y10Er4Th